# 1
Computed, not measured: SrCaSnPb2 at its PBEsol-relaxed geometry at the meta-GGA SCAN level of DFT.

Results
**Volume**: 201 Å³/cell
**DOS(E_F)**: 5.7 states/eV per cell
**Energy of formation from the pure elements**: 1.777 eV/f.u.
**Space group**: P4/mmm
**Calculated total energy**: -43.5290 eV/atom

Cell and atoms, written as CIF:
```
data_SrCaSnPb2
_chemical_formula_sum 'Sr1 Ca1 Sn1 Pb2'
_cell_length_a 5.8365
_cell_length_b 5.8657
_cell_length_c 5.8657
_cell_angle_alpha 90.00
_cell_angle_beta 90.00
_cell_angle_gamma 90.00
_space_group_name_H-M_alt 'P 1'
_space_group_IT_number 1
_space_group_name_Hall 'P 1'
loop_
_atom_site_label
_atom_site_type_symbol
_atom_site_fract_x
_atom_site_fract_y
_atom_site_fract_z
_atom_site_occupancy
Pb1 Pb 0.0000 0.0000 0.5000 1
Pb2 Pb 0.0000 0.5000 0.0000 1
Sr1 Sr 0.0000 0.0000 0.0000 1
Ca1 Ca 0.5000 0.5000 0.5000 1
Sn1 Sn 0.5000 0.0000 0.0000 1
```

---

# 2
Computed, not measured: Te2IrNF at its PBEsol-relaxed geometry at the meta-GGA SCAN level of DFT.

Results
**Volume**: 104 Å³/cell
**Formation energy without anion corrections**: 0.18 eV/atom
**DOS(E_F)**: 3.2 states/eV per cell
**Space group**: P4/mmm
**Calculated total energy**: -31.5115 eV/atom

Cell and atoms, written as CIF:
```
data_Te2IrNF
_chemical_formula_sum 'Te2 Ir1 N1 F1'
_cell_length_a 3.5957
_cell_length_b 5.3799
_cell_length_c 5.3799
_cell_angle_alpha 90.00
_cell_angle_beta 90.00
_cell_angle_gamma 90.00
_space_group_name_H-M_alt 'P 1'
_space_group_IT_number 1
_space_group_name_Hall 'P 1'
loop_
_atom_site_label
_atom_site_type_symbol
_atom_site_fract_x
_atom_site_fract_y
_atom_site_fract_z
_atom_site_occupancy
N1 N 0.5000 0.0000 0.0000 1
Ir1 Ir 0.0000 0.0000 0.0000 1
Te1 Te 0.0000 0.0000 0.5000 1
Te2 Te 0.0000 0.5000 0.0000 1
F1 F 0.5000 0.5000 0.5000 1
```

---

# 3
Computed, not measured: TaInSi at its PBEsol-relaxed geometry at the meta-GGA SCAN level of DFT.

Results
**Volume**: 54 Å³/cell
**Formation energy without anion corrections**: 0.38 eV/atom
**DOS(E_F)**: 2.7 states/eV per cell
**Space group**: P-6m2
**Calculated total energy**: -36.2819 eV/atom

Cell and atoms, written as CIF:
```
data_TaInSi
_chemical_formula_sum 'Ta1 In1 Si1'
_cell_length_a 3.0461
_cell_length_b 4.5330
_cell_length_c 4.5330
_cell_angle_alpha 120.00
_cell_angle_beta 90.00
_cell_angle_gamma 90.00
_space_group_name_H-M_alt 'P 1'
_space_group_IT_number 1
_space_group_name_Hall 'P 1'
loop_
_atom_site_label
_atom_site_type_symbol
_atom_site_fract_x
_atom_site_fract_y
_atom_site_fract_z
_atom_site_occupancy
In1 In 0.0003 0.0000 0.0000 1
Si1 Si 0.4990 0.3333 0.6667 1
Ta1 Ta 0.5006 0.6667 0.3333 1
```

---

# 4
Computed, not measured: LaCrRh at its PBEsol-relaxed geometry at the meta-GGA SCAN level of DFT.

Results
**Volume**: 68 Å³/cell
**DOS(E_F)**: 1.9 states/eV per cell
**Energy of formation from the pure elements**: -0.299 eV/f.u.
**Space group**: F-43m
**Calculated total energy**: -31.8535 eV/atom

Cell and atoms, written as CIF:
```
data_LaCrRh
_chemical_formula_sum 'La1 Cr1 Rh1'
_cell_length_a 4.5796
_cell_length_b 4.5796
_cell_length_c 4.5796
_cell_angle_alpha 60.00
_cell_angle_beta 60.00
_cell_angle_gamma 60.00
_space_group_name_H-M_alt 'P 1'
_space_group_IT_number 1
_space_group_name_Hall 'P 1'
loop_
_atom_site_label
_atom_site_type_symbol
_atom_site_fract_x
_atom_site_fract_y
_atom_site_fract_z
_atom_site_occupancy
Cr1 Cr 0.0000 0.0000 0.0000 1
La1 La 0.5000 0.5000 0.5000 1
Rh1 Rh 0.2500 0.2500 0.2500 1
```

---

# 5
Computed, not measured: Ti2CuRe at its PBEsol-relaxed geometry at the meta-GGA SCAN level of DFT.

Results
**Volume**: 57 Å³/cell
**DOS(E_F)**: 3.4 states/eV per cell
**Energy of formation from the pure elements**: -1.548 eV/f.u.
**Space group**: Fm-3m
**Calculated total energy**: -29.9762 eV/atom

Cell and atoms, written as CIF:
```
data_Ti2CuRe
_chemical_formula_sum 'Ti2 Cu1 Re1'
_cell_length_a 4.3282
_cell_length_b 4.3282
_cell_length_c 4.3282
_cell_angle_alpha 60.00
_cell_angle_beta 60.00
_cell_angle_gamma 60.00
_space_group_name_H-M_alt 'P 1'
_space_group_IT_number 1
_space_group_name_Hall 'P 1'
loop_
_atom_site_label
_atom_site_type_symbol
_atom_site_fract_x
_atom_site_fract_y
_atom_site_fract_z
_atom_site_occupancy
Re1 Re 0.0000 0.0000 0.0000 1
Cu1 Cu 0.5000 0.5000 0.5000 1
Ti1 Ti 0.2500 0.2500 0.2500 1
Ti2 Ti 0.7500 0.7500 0.7500 1
```

---

# 6
Computed, not measured: LiMn4Ir at its PBEsol-relaxed geometry at the meta-GGA SCAN level of DFT.

Results
**Volume**: 68 Å³/cell
**DOS(E_F)**: 4.6 states/eV per cell
**Energy of formation from the pure elements**: 1.133 eV/f.u.
**Space group**: F-43m
**Calculated total energy**: -24.2294 eV/atom

Cell and atoms, written as CIF:
```
data_LiMn4Ir
_chemical_formula_sum 'Li1 Mn4 Ir1'
_cell_length_a 4.5820
_cell_length_b 4.5820
_cell_length_c 4.5820
_cell_angle_alpha 60.00
_cell_angle_beta 60.00
_cell_angle_gamma 60.00
_space_group_name_H-M_alt 'P 1'
_space_group_IT_number 1
_space_group_name_Hall 'P 1'
loop_
_atom_site_label
_atom_site_type_symbol
_atom_site_fract_x
_atom_site_fract_y
_atom_site_fract_z
_atom_site_occupancy
Ir1 Ir 0.7500 0.7500 0.7500 1
Li1 Li 0.0000 0.0000 0.0000 1
Mn1 Mn 0.8814 0.3729 0.3729 1
Mn2 Mn 0.3729 0.3729 0.3729 1
Mn3 Mn 0.3729 0.3729 0.8814 1
Mn4 Mn 0.3729 0.8814 0.3729 1
```

---

# 7
Computed, not measured: NiAg2Cl at its PBEsol-relaxed geometry at the meta-GGA SCAN level of DFT.

Results
**Volume**: 64 Å³/cell
**Formation energy without anion corrections**: 0.47 eV/atom
**Energy above the lowest structure with this stoichiometry**: 0.153 eV/atom
**DOS(E_F)**: 6.2 states/eV per cell
**Space group**: F-43m
**Calculated total energy**: -21.2502 eV/atom

Cell and atoms, written as CIF:
```
data_NiAg2Cl
_chemical_formula_sum 'Ni1 Ag2 Cl1'
_cell_length_a 4.4799
_cell_length_b 4.4799
_cell_length_c 4.4799
_cell_angle_alpha 60.00
_cell_angle_beta 60.00
_cell_angle_gamma 60.00
_space_group_name_H-M_alt 'P 1'
_space_group_IT_number 1
_space_group_name_Hall 'P 1'
loop_
_atom_site_label
_atom_site_type_symbol
_atom_site_fract_x
_atom_site_fract_y
_atom_site_fract_z
_atom_site_occupancy
Ni1 Ni 0.2500 0.2500 0.2500 1
Ag1 Ag 0.0000 0.0000 0.0000 1
Ag2 Ag 0.7500 0.7500 0.7500 1
Cl1 Cl 0.5000 0.5000 0.5000 1
```

---

# 8
Computed, not measured: KY2Cd at its PBEsol-relaxed geometry at the meta-GGA SCAN level of DFT.

Results
**Volume**: 125 Å³/cell
**DOS(E_F)**: 3.6 states/eV per cell
**Energy of formation from the pure elements**: 0.863 eV/f.u.
**Space group**: Imm2
**Calculated total energy**: -23.3915 eV/atom

Cell and atoms, written as CIF:
```
data_KY2Cd
_chemical_formula_sum 'K1 Y2 Cd1'
_cell_length_a 3.6769
_cell_length_b 5.6708
_cell_length_c 6.8712
_cell_angle_alpha 114.37
_cell_angle_beta 105.52
_cell_angle_gamma 90.00
_space_group_name_H-M_alt 'P 1'
_space_group_IT_number 1
_space_group_name_Hall 'P 1'
loop_
_atom_site_label
_atom_site_type_symbol
_atom_site_fract_x
_atom_site_fract_y
_atom_site_fract_z
_atom_site_occupancy
Cd1 Cd 0.4874 0.4874 0.9748 1
K1 K 0.2187 0.7187 0.4374 1
Y1 Y 0.0095 0.0095 0.0191 1
Y2 Y 0.7844 0.2844 0.5687 1
```

---

# 9
Computed, not measured: Li7Pt at its PBEsol-relaxed geometry at the meta-GGA SCAN level of DFT.

Results
**Volume**: 121 Å³/cell
**DOS(E_F)**: 2.4 states/eV per cell
**Energy of formation from the pure elements**: -1.659 eV/f.u.
**Space group**: Fm-3m
**Calculated total energy**: -11.0726 eV/atom

Cell and atoms, written as CIF:
```
data_Li7Pt
_chemical_formula_sum 'Li7 Pt1'
_cell_length_a 5.5467
_cell_length_b 5.5467
_cell_length_c 5.5467
_cell_angle_alpha 60.00
_cell_angle_beta 60.00
_cell_angle_gamma 60.00
_space_group_name_H-M_alt 'P 1'
_space_group_IT_number 1
_space_group_name_Hall 'P 1'
loop_
_atom_site_label
_atom_site_type_symbol
_atom_site_fract_x
_atom_site_fract_y
_atom_site_fract_z
_atom_site_occupancy
Pt1 Pt 0.0000 0.0000 0.0000 1
Li1 Li 0.5000 0.0000 0.0000 1
Li2 Li 0.5000 0.5000 0.0000 1
Li3 Li 0.0000 0.5000 0.0000 1
Li4 Li 0.5000 0.0000 0.5000 1
Li5 Li 0.0000 0.0000 0.5000 1
Li6 Li 0.0000 0.5000 0.5000 1
Li7 Li 0.5000 0.5000 0.5000 1
```

---

# 10
Computed, not measured: KSe2S2 at its PBEsol-relaxed geometry at the meta-GGA SCAN level of DFT.

Results
**Volume**: 276 Å³/cell
**Formation energy without anion corrections**: -0.28 eV/atom
**DOS(E_F)**: 5.7 states/eV per cell
**Space group**: P4/mbm
**Calculated total energy**: -13.8249 eV/atom

Cell and atoms, written as CIF:
```
data_KSe2S2
_chemical_formula_sum 'K2 Se4 S4'
_cell_length_a 3.9151
_cell_length_b 8.3908
_cell_length_c 8.3908
_cell_angle_alpha 90.00
_cell_angle_beta 90.00
_cell_angle_gamma 90.00
_space_group_name_H-M_alt 'P 1'
_space_group_IT_number 1
_space_group_name_Hall 'P 1'
loop_
_atom_site_label
_atom_site_type_symbol
_atom_site_fract_x
_atom_site_fract_y
_atom_site_fract_z
_atom_site_occupancy
K1 K 0.0000 0.0000 0.0000 1
K2 K 0.0000 0.5000 0.5000 1
S1 S 0.5000 0.2480 0.7480 1
S2 S 0.5000 0.7480 0.7520 1
S3 S 0.5000 0.7520 0.2520 1
S4 S 0.5000 0.2520 0.2480 1
Se1 Se 0.0000 0.3515 0.8515 1
Se2 Se 0.0000 0.8515 0.6485 1
Se3 Se 0.0000 0.6485 0.1485 1
Se4 Se 0.0000 0.1485 0.3515 1
```

---

# 11
Computed, not measured: Se5Br4 at its PBEsol-relaxed geometry at the meta-GGA SCAN level of DFT.

Results
**Volume**: 321 Å³/cell
**Formation energy without anion corrections**: 0.03 eV/atom
**DOS(E_F)**: 3.9 states/eV per cell
**Space group**: I4/mmm
**Calculated total energy**: -19.7711 eV/atom

Cell and atoms, written as CIF:
```
data_Se5Br4
_chemical_formula_sum 'Se5 Br4'
_cell_length_a 3.5558
_cell_length_b 9.6666
_cell_length_c 9.6666
_cell_angle_alpha 88.06
_cell_angle_beta 79.40
_cell_angle_gamma 79.40
_space_group_name_H-M_alt 'P 1'
_space_group_IT_number 1
_space_group_name_Hall 'P 1'
loop_
_atom_site_label
_atom_site_type_symbol
_atom_site_fract_x
_atom_site_fract_y
_atom_site_fract_z
_atom_site_occupancy
Se1 Se 0.0000 0.0000 0.0000 1
Se2 Se 0.7079 0.0000 0.5842 1
Se3 Se 0.2921 0.0000 0.4158 1
Se4 Se 0.7079 0.5842 0.0000 1
Se5 Se 0.2921 0.4158 0.0000 1
Br1 Br 0.0000 0.8102 0.1898 1
Br2 Br 0.0000 0.1898 0.8102 1
Br3 Br 0.8102 0.1898 0.1898 1
Br4 Br 0.1898 0.8102 0.8102 1
```

---

# 12
Computed, not measured: SrNiP2 at its PBEsol-relaxed geometry at the meta-GGA SCAN level of DFT.

Results
**Volume**: 80 Å³/cell
**DOS(E_F)**: 0.8 states/eV per cell
**Energy of formation from the pure elements**: -2.895 eV/f.u.
**Space group**: Cm
**Calculated total energy**: -15.5352 eV/atom

Cell and atoms, written as CIF:
```
data_SrNiP2
_chemical_formula_sum 'Sr1 Ni1 P2'
_cell_length_a 3.7103
_cell_length_b 5.4627
_cell_length_c 4.3801
_cell_angle_alpha 106.37
_cell_angle_beta 90.00
_cell_angle_gamma 109.85
_space_group_name_H-M_alt 'P 1'
_space_group_IT_number 1
_space_group_name_Hall 'P 1'
loop_
_atom_site_label
_atom_site_type_symbol
_atom_site_fract_x
_atom_site_fract_y
_atom_site_fract_z
_atom_site_occupancy
Ni1 Ni 0.6882 0.3765 0.0308 1
P1 P 0.1344 0.2688 0.2424 1
P2 P 0.2274 0.4548 0.7850 1
Sr1 Sr 0.4500 0.8999 0.4418 1
```

---

# 13
Computed, not measured: AlGaIrO2 at its PBEsol-relaxed geometry at the meta-GGA SCAN level of DFT.

Results
**Volume**: 85 Å³/cell
**Formation energy without anion corrections**: -0.09 eV/atom
**DOS(E_F)**: 3.0 states/eV per cell
**Space group**: P4/mmm
**Calculated total energy**: -21.6200 eV/atom

Cell and atoms, written as CIF:
```
data_AlGaIrO2
_chemical_formula_sum 'Al1 Ga1 Ir1 O2'
_cell_length_a 3.5460
_cell_length_b 3.5460
_cell_length_c 6.7758
_cell_angle_alpha 90.00
_cell_angle_beta 90.00
_cell_angle_gamma 90.00
_space_group_name_H-M_alt 'P 1'
_space_group_IT_number 1
_space_group_name_Hall 'P 1'
loop_
_atom_site_label
_atom_site_type_symbol
_atom_site_fract_x
_atom_site_fract_y
_atom_site_fract_z
_atom_site_occupancy
O1 O 0.0000 0.5000 0.0000 1
O2 O 0.5000 0.0000 0.0000 1
Ir1 Ir 0.5000 0.5000 0.5000 1
Al1 Al 0.0000 0.0000 0.5000 1
Ga1 Ga 0.0000 0.0000 0.0000 1
```

---

# 14
Computed, not measured: Te2IrAu at its PBEsol-relaxed geometry at the meta-GGA SCAN level of DFT.

Results
**Volume**: 107 Å³/cell
**Formation energy without anion corrections**: -0.25 eV/atom
**Energy above the lowest structure with this stoichiometry**: 0.000 eV/atom
**DOS(E_F)**: 0.1 states/eV per cell
**Space group**: R-3m
**Calculated total energy**: -53.9444 eV/atom

Cell and atoms, written as CIF:
```
data_Te2IrAu
_chemical_formula_sum 'Te2 Ir1 Au1'
_cell_length_a 3.9971
_cell_length_b 3.9971
_cell_length_c 8.0480
_cell_angle_alpha 75.62
_cell_angle_beta 75.62
_cell_angle_gamma 60.00
_space_group_name_H-M_alt 'P 1'
_space_group_IT_number 1
_space_group_name_Hall 'P 1'
loop_
_atom_site_label
_atom_site_type_symbol
_atom_site_fract_x
_atom_site_fract_y
_atom_site_fract_z
_atom_site_occupancy
Te1 Te 0.8888 0.8888 0.3335 1
Te2 Te 0.1112 0.1112 0.6665 1
Ir1 Ir 0.5000 0.5000 0.5000 1
Au1 Au 0.0000 0.0000 0.0000 1
```